BeCr2Mo after structural relaxation, computed with GGA-PBE.

The calculation puts the calculated formation energy at 0.169 eV per atom. The value obtained for the density is 7.07 g/cm³. The density of states at the Fermi level is 0.6345 states/eV per atom. Its total magnetic moment is 1.71 μB/f.u. The symmetry is F-43m (216). The crystal system is cubic.

Geometry as POSCAR:
```
BeCr2Mo
1.0
-2.386 -1.685 -2.889
1.644 -1.242 -3.555
0.304 -4.012 -0.832
Cr Mo Be
2 1 1
Direct
0.000 0.000 0.000 Cr
0.250 0.250 0.250 Cr
0.750 0.750 0.750 Mo
0.500 0.500 0.500 Be
```